# LiMg2Tl2 (PBE-GGA, relaxed)
# **Calculated total energy**: -9.6 eV per formula unit
# **E_form**: 0.0437 eV per atom
# **Polymorph energy (0 for the lowest one)**: 0.72 eV/f.u.
data_LiMg2Tl2
_chemical_formula_sum 'Li2 Mg4 Tl4'
_symmetry_space_group_name_H-M 'I 4/m m m'
_symmetry_Int_Tables_number 139
_symmetry_space_group_name_Hall '-I 4 2'
_cell_length_a 4.315
_cell_length_b 4.315
_cell_length_c 14.220
_cell_angle_alpha 90.00
_cell_angle_beta 90.00
_cell_angle_gamma 90.00
loop_
_atom_site_label
_atom_site_type_symbol
_atom_site_fract_x
_atom_site_fract_y
_atom_site_fract_z
_atom_site_occupancy
Li1 Li 0.000 0.000 0.000 1
Mg1 Mg 0.000 0.500 0.250 1
Tl1 Tl 0.000 0.000 0.397 1